Material: BiSe2IBr
Method: DFT, PBE
State: optimized geometry

Cell lengths 5.7265, 5.7265, 5.6189 Å; angles 90.00, 90.00, 90.00 degrees
Last column: nearest neighbours and their distance in Å.
Space group P4/mmm (No. 123)
Symmetry-distinct sites (fractional):
Bi: 0.0000 0.0000 0.0000  2 Br 2.81, 4 Se 2.86
Se: 0.0000 0.5000 0.0000  2 Bi 2.86
I: 0.5000 0.5000 0.5000  8 Se 4.01, 4 Br 4.05
Br: 0.0000 0.0000 0.5000  2 Bi 2.81

Summary:
Crystal system: tetragonal
N(E_F) in states/eV/f.u.: 5.9
Formation energy from raw total energies in eV per atom: 0.30